(1)
Below is a relaxed NaCaMg2 crystal, with properties calculated at the GGA-PBE level.

```
4
Lattice="-2.342 -4.181 -1.180 4.273 -2.463 0.245 -0.796 -0.906 4.789" Properties=species:S:1:pos:R:3 pbc="T T T"
Ca -1.171 -2.090 -0.590
Na 0.567 -3.775 1.927
Mg 2.137 -1.232 0.122
Mg -0.398 -0.453 2.394
```

distance to the lowest polymorph of the same formula = 0.012 eV per atom
ΔH_f (0 K) = 0.052 eV/atom
calculated volume = 30.1 Å³/atom
uncorrected energy = -1.58 eV/atom

(2)
Below is a relaxed NaCa4Mg crystal, with properties calculated at the GGA-PBE level.

```
12
Lattice="-1.756 -5.095 -1.581 5.904 -5.612 11.532 -4.786 0.773 2.826" Properties=species:S:1:pos:R:3 pbc="T T T"
Ca 0.844 -9.455 9.585
Ca 0.027 -3.408 0.977
Ca 0.291 -7.041 2.418
Ca -1.230 -4.101 4.609
Ca -0.665 -6.527 11.801
Mg -3.271 -2.161 0.623
Mg 0.559 -2.420 7.179
Ca -0.929 -2.894 10.360
Na 0.000 0.000 0.000
Ca 0.592 -5.834 8.168
Na 2.074 -5.354 4.976
Ca -1.482 -0.480 3.193
```

distance to the lowest polymorph of the same formula = 0.013 eV per atom
ΔH_f (0 K) = 0.015 eV/atom
calculated volume = 37.1 Å³/atom
uncorrected energy = -1.81 eV/atom

(3)
Below is a relaxed NaCa4Mg3 crystal, with properties calculated at the GGA-PBE level.

```
8
Lattice="-1.300 -3.368 1.506 4.963 -0.632 2.872 -4.475 5.751 8.999" Properties=species:S:1:pos:R:3 pbc="T T T"
Na 1.832 -2.000 2.189
Ca -0.824 3.932 8.083
Ca 1.312 1.187 3.788
Ca 0.000 0.000 0.000
Mg -1.779 -0.233 3.024
Mg -3.996 2.616 7.481
Mg -0.406 0.876 6.688
Ca -2.237 2.876 4.500
```

ΔH_f (0 K) = -0.033 eV/atom
calculated volume = 32.7 Å³/atom
uncorrected energy = -1.80 eV/atom